Record 1
DFT (GGA-PBE) results for a relaxed structure of Ca2HgPb.

* magnetization: 0.0 Bohr magnetons per cell
* energy of formation: -101 meV/atom
* DFT total energy: -2.105 eV/atom
* space group: I-42d

Lattice parameters (Å, degrees): 5.103 5.103 11.124 76.74 76.74 90.00
Fractional coordinates of all 8 atoms:
Ca: 0.129 0.625 0.250
Ca: 0.621 0.125 0.250
Ca: 0.875 0.871 0.750
Ca: 0.375 0.379 0.750
Pb: 0.750 0.250 0.500
Pb: 0.000 0.000 0.000
Hg: 0.250 0.750 0.500
Hg: 0.500 0.500 0.000

***

Record 2
DFT (GGA-PBE) results for a relaxed structure of Ca2Hg8Pb.

* magnetization: 0.0 Bohr magnetons per cell
* energy of formation: -226 meV/atom
* DFT total energy: -1.147 eV/atom
* space group: C2/m
* ΔE to the lowest computed polymorph: 1.92 kJ/mol of atoms

Lattice parameters (Å, degrees): 7.517 6.101 7.637 113.54 72.93 90.00
Fractional coordinates of all 11 atoms:
Hg: 0.590 0.344 0.175
Hg: 0.217 0.159 0.319
Hg: 0.783 0.841 0.681
Hg: 0.410 0.656 0.825
Hg: 0.410 0.169 0.825
Hg: 0.033 0.388 0.775
Hg: 0.590 0.831 0.175
Hg: 0.967 0.612 0.225
Ca: 0.766 0.249 0.497
Ca: 0.234 0.751 0.503
Pb: 0.000 0.000 0.000